Record 1
# Re2TeOs

Re2TeOs after structural relaxation (PBE-GGA, Alexandria via LeMat-Bulk).

Properties
Formation energy from raw total energies in eV per atom: 0.678

```
4
Lattice="-0.101 2.903 0.742 -2.140 0.449 -2.051 -5.050 -1.442 4.954" Properties=species:S:1:pos:R:3 pbc="T T T"
Te -2.383 1.316 0.584
Re -5.006 -1.430 4.911
Re -2.569 -0.733 2.520
Os -4.908 0.595 3.061
```



Record 2
# Re2TeOs

Re2TeOs after structural relaxation (PBE-GGA, Alexandria via LeMat-Bulk).

Properties
Formation energy from raw total energies in eV per atom: 0.742

```
4
Lattice="-1.852 -3.421 1.320 1.132 -1.472 -2.227 5.224 -2.169 1.708" Properties=species:S:1:pos:R:3 pbc="T T T"
Te 0.663 -2.621 0.530
Re 5.202 -2.277 1.398
Os 3.841 -4.441 0.271
Re 3.200 -1.713 0.051
```



Record 3
# ReTeOs2

ReTeOs2 after structural relaxation (PBE-GGA, Alexandria via LeMat-Bulk).

Properties
Formation energy from raw total energies in eV per atom: 1.071

```
4
Lattice="2.838 0.011 0.000 -1.394 2.472 0.000 0.000 0.000 9.769" Properties=species:S:1:pos:R:3 pbc="T T T"
Os 0.000 0.000 0.202
Te 0.722 1.241 7.400
Os 0.722 1.241 2.437
Re 0.000 0.000 4.614
```



Record 4
# Re2TeOs

Re2TeOs after structural relaxation (PBE-GGA, Alexandria via LeMat-Bulk).

Properties
Formation energy from raw total energies in eV per atom: 0.643

```
4
Lattice="-0.068 1.808 -4.666 -0.080 -1.192 -4.860 -4.671 0.042 -0.345" Properties=species:S:1:pos:R:3 pbc="T T T"
Re -4.515 0.056 -0.562
Te -1.205 0.165 -2.468
Re -2.566 0.316 -4.719
Os -3.614 0.494 -7.403
```



Record 5
# ReTeOs2

ReTeOs2 after structural relaxation (PBE-GGA, Alexandria via LeMat-Bulk).

Properties
Formation energy from raw total energies in eV per atom: 0.752

```
4
Lattice="4.064 0.000 0.000 0.000 2.904 0.043 0.000 1.895 5.565" Properties=species:S:1:pos:R:3 pbc="T T T"
Os 0.000 2.662 2.706
Os 0.000 2.641 0.141
Te 2.032 3.599 4.206
Re 2.032 1.200 1.402
```



Record 6
# ReTeOs2

ReTeOs2 after structural relaxation (PBE-GGA, Alexandria via LeMat-Bulk).

Properties
Formation energy from raw total energies in eV per atom: 0.704

```
4
Lattice="4.926 0.001 -0.002 4.048 2.807 -0.002 0.419 0.131 4.728" Properties=species:S:1:pos:R:3 pbc="T T T"
Os 4.538 1.420 2.483
Os 0.577 0.180 4.607
Re 7.044 2.204 3.543
Te 2.348 0.735 1.181
```